AcLa2Mg2Cd2 | PBE-GGA | relaxed

Cell lengths 5.1149, 5.1149, 28.2517 Å; angles 90.00, 90.00, 120.00 degrees
Space group R-3m (No. 166, hexagonal axes)
Symmetry-distinct sites (fractional):
Ac 0.0000 0.0000 0.0000 (multiplicity 3)
La 0.0000 0.0000 0.1338 (multiplicity 6)
Mg 0.0000 0.0000 0.4095 (multiplicity 6)
Cd 0.0000 0.0000 0.2591 (multiplicity 6)

D(E_F)   7.58 states/eV/f.u.

Ce2GaO | PBE-GGA | relaxed

Cell lengths 3.6173, 3.6173, 22.0766 Å; angles 90.00, 90.00, 120.00 degrees
Space group R-3m (No. 166, hexagonal axes)
Symmetry-distinct sites (fractional):
Ce 0.0000 0.0000 0.2295 (multiplicity 6)
Ga 0.0000 0.0000 0.0000 (multiplicity 3)
O 0.0000 0.0000 0.5000 (multiplicity 3)

E_form (uncorrected)   -1522 meV per atom
Relative energy among the computed polymorphs   0.000 eV per atom
D(E_F)   6.52 states/eV/f.u.

KTm2Cu3Se5 | PBE-GGA | relaxed

Cell lengths 4.096, 14.413, 16.840 Å; angles 90.00, 90.00, 90.00 degrees
Space group Cmcm (No. 63)
Symmetry-distinct sites (fractional):
K 0.000 0.060 0.250 (multiplicity 4)
Tm 0.000 0.192 0.593 (multiplicity 8)
Cu 0.000 0.339 0.250 (multiplicity 4)
Cu 0.000 0.415 0.528 (multiplicity 8)
Se 0.000 0.166 0.072 (multiplicity 8)
Se 0.000 0.251 0.750 (multiplicity 4)
Se 0.000 0.440 0.119 (multiplicity 8)

E_form (uncorrected)   -1118 meV per atom

Tc24Mo5 | PBE-GGA | relaxed

Cell lengths 9.554, 9.554, 9.554 Å; angles 90.00, 90.00, 90.00 degrees
Space group I-43m (No. 217)
Symmetry-distinct sites (fractional):
Tc 0.041 0.358 0.358 (multiplicity 24)
Tc 0.090 0.090 0.283 (multiplicity 24)
Mo 0.000 0.000 0.000 (multiplicity 2)
Mo 0.181 0.181 0.819 (multiplicity 8)

D(E_F)   30.75 states/eV/f.u.

SrSi2Br | PBE-GGA | relaxed

Cell lengths 6.965, 4.021, 8.583 Å; angles 90.00, 105.57, 90.00 degrees
Space group Cm (No. 8)
Symmetry-distinct sites (fractional):
Sr 0.000 0.000 0.000 (multiplicity 2)
Si 0.257 0.500 0.274 (multiplicity 2)
Si 0.448 0.000 0.347 (multiplicity 2)
Br 0.258 0.000 0.772 (multiplicity 2)

E_form (uncorrected)   -652 meV per atom
Relative energy among the computed polymorphs   0.000 eV per atom
D(E_F)   0.48 states/eV/f.u.

CaSc4In | PBE-GGA | relaxed

Cell lengths 8.596, 8.596, 8.596 Å; angles 90.00, 90.00, 90.00 degrees
Space group F-43m (No. 216)
Symmetry-distinct sites (fractional):
Ca 0.000 0.000 0.000 (multiplicity 4)
Sc 0.125 0.125 0.375 (multiplicity 16)
In 0.250 0.250 0.750 (multiplicity 4)

D(E_F)   6.32 states/eV/f.u.

MnVW | PBE-GGA | relaxed

Cell lengths 4.0875, 4.0875, 9.6000 Å; angles 90.00, 90.00, 120.00 degrees
Space group R3m (No. 160, hexagonal axes)
Symmetry-distinct sites (fractional):
Mn 0.0000 0.0000 0.0000 (multiplicity 3)
V 0.0000 0.0000 0.2508 (multiplicity 3)
W 0.0000 0.0000 0.7468 (multiplicity 3)

Relative energy among the computed polymorphs   0.578 eV per atom
D(E_F)   4.44 states/eV/f.u.

ZnSiNi | PBE-GGA | relaxed

Cell lengths 5.542, 5.542, 5.542 Å; angles 90.00, 90.00, 90.00 degrees
Space group F-43m (No. 216)
Symmetry-distinct sites (fractional):
Zn 0.000 0.000 0.000 (multiplicity 4)
Si 0.000 0.000 0.500 (multiplicity 4)
Ni 0.250 0.250 0.250 (multiplicity 4)

E_form (uncorrected)   -200 meV per atom
D(E_F)   2.48 states/eV/f.u.

Ce3Ge4Pt7 | PBE-GGA | relaxed

Cell lengths 16.140, 4.227, 9.395 Å; angles 90.00, 124.74, 90.00 degrees
Space group C2/m (No. 12)
Symmetry-distinct sites (fractional):
Ce 0.000 0.000 0.000 (multiplicity 2)
Ce 0.176 0.500 0.666 (multiplicity 4)
Ge 0.122 0.000 0.840 (multiplicity 4)
Ge 0.178 0.500 0.310 (multiplicity 4)
Pt 0.000 0.000 0.500 (multiplicity 2)
Pt 0.003 0.500 0.738 (multiplicity 4)
Pt 0.135 0.000 0.399 (multiplicity 4)
Pt 0.192 0.500 0.055 (multiplicity 4)

D(E_F)   13.71 states/eV/f.u.

Dy2Tm3Sc2 | PBE-GGA | relaxed

Cell lengths 6.267, 10.339, 6.344 Å; angles 90.00, 91.95, 90.00 degrees
Space group P2_1/c (No. 14)
Symmetry-distinct sites (fractional):
Dy 0.140 0.243 0.249 (multiplicity 4)
Tm 0.000 0.000 0.000 (multiplicity 2)
Tm 0.254 0.557 0.023 (multiplicity 4)
Sc 0.448 0.646 0.524 (multiplicity 4)

Relative energy among the computed polymorphs   0.000 eV per atom
D(E_F)   10.32 states/eV/f.u.

LaIN2F | PBE-GGA | relaxed

Cell lengths 4.300, 4.300, 4.517 Å; angles 90.00, 90.00, 90.00 degrees
Space group P4/mmm (No. 123)
Symmetry-distinct sites (fractional):
La 0.000 0.000 0.000 (multiplicity 1)
I 0.500 0.500 0.500 (multiplicity 1)
N 0.000 0.500 0.500 (multiplicity 2)
F 0.500 0.500 0.000 (multiplicity 1)

E_form (uncorrected)   56 meV per atom
Relative energy among the computed polymorphs   0.105 eV per atom
D(E_F)   2.05 states/eV/f.u.

PmNpMn | PBE-GGA | relaxed

Cell lengths 10.530, 3.251, 8.374 Å; angles 90.00, 113.46, 90.00 degrees
Space group C2/m (No. 12)
Symmetry-distinct sites (fractional):
Pm 0.168 0.000 0.115 (multiplicity 4)
Np 0.165 0.500 0.518 (multiplicity 4)
Mn 0.039 0.000 0.678 (multiplicity 4)

D(E_F)   4.53 states/eV/f.u.

| no. | energy (eV/atom) |
| --- | --- |
| 1 | -2.868 |
| 2 | -6.485 |
| 3 | -4.731 |
| 4 | -10.434 |
| 5 | -4.202 |
| 6 | -4.901 |
| 7 | -9.899 |
| 8 | -4.359 |
| 9 | -6.533 |
| 10 | -4.826 |
| 11 | -4.944 |
| 12 | -8.551 |